## YCd (PBE-GGA)

Data for a geometry-optimized YCd structure.

a b c (Å): 5.359 5.359 5.359
angles (deg): 39.82 39.82 39.82
Fractional coordinates of all 2 atoms:
1 Cd 0.000 0.000 0.000
2 Y 0.500 0.500 0.500

Values from the calculation:
DFT total energy ... -0.142 hartree per atom
M_tot ... 0.00 μB/cell

***

## Pr6Y3Er2Th (PBE-GGA)

Data for a geometry-optimized Pr6Y3Er2Th structure.

a b c (Å): 6.304 6.304 11.988
angles (deg): 95.05 95.05 119.98
Fractional coordinates of all 12 atoms:
1 Pr 0.917 0.587 0.752
2 Pr 0.247 0.247 0.752
3 Pr 0.413 0.083 0.248
4 Pr 0.753 0.753 0.248
5 Pr 0.587 0.917 0.752
6 Pr 0.083 0.413 0.248
7 Y 0.167 0.833 0.500
8 Y 0.833 0.167 0.500
9 Y 0.500 0.500 0.500
10 Er 0.667 0.333 0.000
11 Er 0.333 0.667 0.000
12 Th 0.000 0.000 0.000

Values from the calculation:
DFT total energy ... -0.197 hartree per atom
M_tot ... 0.01 μB/cell